[1]
VASP calculation (PBE) on Al2Cu2W after structural relaxation.

Properties
As for the density of states at the Fermi level: 0.1026 states/eV per atom. As for the total magnetic moment: 0.0 μB/f.u. The raw total energy comes out at -5.711 eV/atom. The calculation puts the volume at 137.5 Å³/cell.

Cell lengths 7.089, 7.089, 2.736 Å; angles 90.00, 90.00, 90.00 degrees
Space group P4/mbm (No. 127)
Symmetry-distinct sites (fractional):
1 Al 0.139 0.361 0.000
2 Cu 0.158 0.658 0.500
3 W 0.000 0.000 0.000

***

[2]
VASP calculation (PBE) on PrDy2Ga after structural relaxation.

Properties
As for the density of states at the Fermi level: 1.2835 states/eV per atom. As for the total magnetic moment: 0.0 μB/f.u. The raw total energy comes out at -4.497 eV/atom. The calculation puts the volume at 472.2 Å³/cell.

Cell lengths 4.306, 12.248, 8.952 Å; angles 90.00, 90.00, 90.00 degrees
Space group Cmcm (No. 63)
Symmetry-distinct sites (fractional):
1 Pr 0.000 0.060 0.250
2 Dy 0.000 0.355 0.055
3 Ga 0.000 0.248 0.750

***

[3]
VASP calculation (PBE) on MgTiNbO6 after structural relaxation.

Properties
The uncorrected formation energy is -2.502 eV/atom. As for the density of states at the Fermi level: 0.5226 states/eV per atom. As for the total magnetic moment: 0.8 μB/f.u. The raw total energy comes out at -7.981 eV/atom. The calculation puts the volume at 208.0 Å³/cell.

Cell lengths 4.751, 4.751, 9.216 Å; angles 90.00, 90.00, 90.00 degrees
Space group P4_2nm (No. 102)
Symmetry-distinct sites (fractional):
1 Mg 0.000 0.000 0.000
2 Ti 0.000 0.000 0.665
3 Nb 0.000 0.000 0.338
4 O 0.191 0.191 0.504
5 O 0.201 0.201 0.822
6 O 0.207 0.207 0.178

***

[4]
VASP calculation (PBE) on Pm6NpS12 after structural relaxation.

Properties
The uncorrected formation energy is -1.812 eV/atom. As for the total magnetic moment: 0.9 μB/f.u. The raw total energy comes out at -6.600 eV/atom. The calculation puts the volume at 1477.4 Å³/cell.

Cell lengths 12.1285, 12.1285, 11.5975 Å; angles 90.00, 90.00, 120.00 degrees
Space group R-3 (No. 148, hexagonal axes)
Symmetry-distinct sites (fractional):
1 Pm 0.0456 0.7778 0.1338
2 Np 0.0000 0.0000 0.5000
3 S 0.0321 0.8128 0.8959
4 S 0.0527 0.8552 0.3815

***

[5]
VASP calculation (PBE) on Nd4Zn3Pd after structural relaxation.

Properties
As for the density of states at the Fermi level: 0.9150 states/eV per atom. As for the total magnetic moment: 0.0 μB/f.u. The raw total energy comes out at -3.932 eV/atom. The calculation puts the volume at 198.1 Å³/cell.

Cell lengths 3.697, 3.697, 14.497 Å; angles 90.00, 90.00, 90.00 degrees
Space group P4/mmm (No. 123)
Symmetry-distinct sites (fractional):
1 Nd 0.000 0.000 0.120
2 Nd 0.000 0.000 0.374
3 Zn 0.500 0.500 0.250
4 Zn 0.500 0.500 0.500
5 Pd 0.500 0.500 0.000

***

[6]
VASP calculation (PBE) on SbTe3Pb2 after structural relaxation.

Properties
The uncorrected formation energy is -0.159 eV/atom. As for the density of states at the Fermi level: 0.3897 states/eV per atom. As for the total magnetic moment: 0.0 μB/f.u. The raw total energy comes out at -3.653 eV/atom. The calculation puts the volume at 445.6 Å³/cell.

Cell lengths 6.524, 15.546, 4.394 Å; angles 90.00, 90.00, 90.00 degrees
Space group Cmmm (No. 65)
Symmetry-distinct sites (fractional):
1 Sb 0.000 0.000 0.000
2 Te 0.000 0.139 0.500
3 Te 0.000 0.500 0.000
4 Pb 0.000 0.350 0.500

***

[7]
VASP calculation (PBE) on SrP4W after structural relaxation.

Properties
As for the density of states at the Fermi level: 0.7557 states/eV per atom. As for the total magnetic moment: 2.2 μB/f.u. The raw total energy comes out at -5.343 eV/atom. The calculation puts the volume at 424.6 Å³/cell.

Cell lengths 7.516, 7.516, 7.516 Å; angles 90.00, 90.00, 90.00 degrees
Space group F-43m (No. 216)
Symmetry-distinct sites (fractional):
1 Sr 0.000 0.000 0.000
2 P 0.116 0.116 0.384
3 W 0.250 0.250 0.750

***

[8]
VASP calculation (PBE) on Rb3Pm2HoSe6 after structural relaxation.

Properties
The uncorrected formation energy is -1.736 eV/atom. As for the density of states at the Fermi level: 0.0000 states/eV per atom. As for the total magnetic moment: 0.0 μB/f.u. The raw total energy comes out at -4.894 eV/atom. The calculation puts the volume at 772.7 Å³/cell.

Cell lengths 7.462, 12.925, 8.390 Å; angles 90.00, 107.26, 90.00 degrees
Space group C2/m (No. 12)
Symmetry-distinct sites (fractional):
1 Rb 0.000 0.000 0.000
2 Rb 0.000 0.332 0.000
3 Pm 0.000 0.167 0.500
4 Ho 0.000 0.500 0.500
5 Se 0.229 0.337 0.698
6 Se 0.240 0.000 0.698

***

[9]
VASP calculation (PBE) on AgSn2Rh after structural relaxation.

Properties
As for the density of states at the Fermi level: 0.5215 states/eV per atom. As for the total magnetic moment: 0.0 μB/f.u. The raw total energy comes out at -4.470 eV/atom. The calculation puts the volume at 350.4 Å³/cell.

Cell lengths 4.413, 4.413, 17.991 Å; angles 90.00, 90.00, 90.00 degrees
Space group I-42d (No. 122)
Symmetry-distinct sites (fractional):
1 Ag 0.000 0.000 0.000
2 Sn 0.235 0.250 0.625
3 Rh 0.000 0.000 0.500

***

[10]
VASP calculation (PBE) on Zn2BiPb after structural relaxation.

Properties
As for the density of states at the Fermi level: 0.4973 states/eV per atom. As for the total magnetic moment: 0.0 μB/f.u. The raw total energy comes out at -2.344 eV/atom. The calculation puts the volume at 307.0 Å³/cell.

Cell lengths 4.2039, 4.2039, 20.0621 Å; angles 90.00, 90.00, 120.00 degrees
Space group R-3m (No. 166, hexagonal axes)
Symmetry-distinct sites (fractional):
1 Zn 0.0000 0.0000 0.2461
2 Bi 0.0000 0.0000 0.5000
3 Pb 0.0000 0.0000 0.0000

***

[11]
VASP calculation (PBE) on TaAlCu after structural relaxation.

Properties
As for the density of states at the Fermi level: 0.3125 states/eV per atom. As for the total magnetic moment: 0.0 μB/f.u. The raw total energy comes out at -6.756 eV/atom. The calculation puts the volume at 89.4 Å³/cell.

Cell lengths 2.895, 2.895, 10.671 Å; angles 90.00, 90.00, 90.00 degrees
Space group I4mm (No. 107)
Symmetry-distinct sites (fractional):
1 Ta 0.000 0.000 0.000
2 Al 0.000 0.000 0.314
3 Cu 0.000 0.000 0.675

***

Q: The lowest volume belongs to which entry?
A: TaAlCu